A geometry-optimized DyHo5Tm5 structure. Source: Alexandria, functional PBE.

abc: 6.745 6.874 8.197
angles: 76.19 76.81 72.63
Element x y z (fractional)
1 Dy 0.000 0.000 0.000
2 Ho 0.000 0.500 0.000
3 Ho 0.158 0.631 0.358
4 Ho 0.326 0.766 0.655
5 Ho 0.674 0.234 0.345
6 Ho 0.842 0.369 0.642
7 Tm 0.208 0.138 0.316
8 Tm 0.352 0.248 0.719
9 Tm 0.500 0.500 0.000
10 Tm 0.648 0.752 0.281
11 Tm 0.792 0.862 0.684

Calculated values
energy above the most stable polymorph in this dataset	0	meV/atom
total magnetization	0.000	μB per cell
calculated formation energy	149	meV per atom
calculated volume	347.2	Å³/cell
SG	P-1
uncorrected energy	-4.382	eV/atom